{
  "formula": "BeSbTe2",
  "functional": "PBE",
  "state": "relaxed",
  "formation_energy_uncorrected_ev_per_atom": 0.12,
  "e_above_lowest_polymorph_ev_per_fu": 0.36,
  "volume_a3_per_atom": 26.249,
  "lattice_angstrom": [[1.8200, 1.0508, 9.1501], [-1.8200, 1.0508, 9.1501], [0.0000, -2.1016, 9.1501]],
  "species": ["Be", "Sb", "Te", "Te"],
  "frac_coords": [[0.0000, 0.0000, 0.0000], [0.5000, 0.5000, 0.5000], [0.3879, 0.3879, 0.3879], [0.6121, 0.6121, 0.6121]]
}

---

{
  "formula": "NbFeB2",
  "functional": "PBE",
  "state": "relaxed",
  "e_form_mev_per_atom": 214,
  "volume_a3_per_atom": 9.964,
  "lattice_angstrom": [[0.0000, 2.7112, 2.7112], [2.7112, 0.0000, 2.7112], [2.7112, 2.7112, 0.0000]],
  "species": ["Nb", "Fe", "B", "B"],
  "frac_coords": [[0.0000, 0.0000, 0.0000], [0.5000, 0.5000, 0.5000], [0.2500, 0.2500, 0.2500], [0.7500, 0.7500, 0.7500]]
}

---

| no. | total magnetization (μB/cell) |
| --- | --- |
| 1 | 0.00 |
| 2 | 0.00 |